Entry 1:
# YMoO3

A relaxed structure of YMoO3 (GGA+U, Alexandria).

The structure in CIF format:
```
data_YMoO3
_chemical_formula_sum 'Y2 Mo2 O6'
_cell_length_a 5.854
_cell_length_b 3.441
_cell_length_c 6.350
_cell_angle_alpha 90.00
_cell_angle_beta 94.99
_cell_angle_gamma 90.00
_space_group_name_H-M_alt 'P 1'
_space_group_IT_number 1
_space_group_name_Hall 'P 1'
loop_
_atom_site_label
_atom_site_type_symbol
_atom_site_fract_x
_atom_site_fract_y
_atom_site_fract_z
Y1 Y 0.097 0.250 0.273
Y2 Y 0.903 0.750 0.727
Mo1 Mo 0.416 0.250 0.846
Mo2 Mo 0.584 0.750 0.154
O1 O 0.111 0.250 0.642
O2 O 0.229 0.750 0.010
O3 O 0.472 0.250 0.306
O4 O 0.528 0.750 0.694
O5 O 0.771 0.250 0.990
O6 O 0.889 0.750 0.358
```

Values from the calculation:
Its uncorrected energy is -79.8 eV for the cell shown. The total magnetization is 0.200 μB per atom. Its symmetry is P2_1/m.

***

Entry 2:
# YMoO3

A relaxed structure of YMoO3 (GGA+U, Alexandria).

The structure in CIF format:
```
data_YMoO3
_chemical_formula_sum 'Y4 Mo4 O12'
_cell_length_a 5.852
_cell_length_b 8.051
_cell_length_c 5.511
_cell_angle_alpha 90.00
_cell_angle_beta 90.00
_cell_angle_gamma 90.00
_space_group_name_H-M_alt 'P 1'
_space_group_IT_number 1
_space_group_name_Hall 'P 1'
loop_
_atom_site_label
_atom_site_type_symbol
_atom_site_fract_x
_atom_site_fract_y
_atom_site_fract_z
Y1 Y 0.066 0.250 0.023
Y2 Y 0.434 0.750 0.523
Y3 Y 0.566 0.250 0.477
Y4 Y 0.934 0.750 0.977
Mo1 Mo 0.000 0.000 0.500
Mo2 Mo 0.000 0.500 0.500
Mo3 Mo 0.500 0.000 0.000
Mo4 Mo 0.500 0.500 0.000
O1 O 0.066 0.750 0.361
O2 O 0.191 0.572 0.815
O3 O 0.191 0.928 0.815
O4 O 0.309 0.072 0.315
O5 O 0.309 0.428 0.315
O6 O 0.434 0.250 0.861
O7 O 0.566 0.750 0.139
O8 O 0.691 0.572 0.685
O9 O 0.691 0.928 0.685
O10 O 0.809 0.072 0.185
O11 O 0.809 0.428 0.185
O12 O 0.934 0.250 0.639
```

Values from the calculation:
Its uncorrected energy is -165.5 eV for the cell shown. The total magnetization is 0.600 μB per atom. Its symmetry is Pnma.

***

Entry 3:
# YMoO3

A relaxed structure of YMoO3 (GGA+U, Alexandria).

The structure in CIF format:
```
data_YMoO3
_chemical_formula_sum 'Y2 Mo2 O6'
_cell_length_a 3.629
_cell_length_b 3.629
_cell_length_c 12.623
_cell_angle_alpha 90.00
_cell_angle_beta 90.00
_cell_angle_gamma 120.00
_space_group_name_H-M_alt 'P 1'
_space_group_IT_number 1
_space_group_name_Hall 'P 1'
loop_
_atom_site_label
_atom_site_type_symbol
_atom_site_fract_x
_atom_site_fract_y
_atom_site_fract_z
Y1 Y 0.000 0.000 0.000
Y2 Y 0.000 0.000 0.500
Mo1 Mo 0.333 0.667 0.250
Mo2 Mo 0.667 0.333 0.750
O1 O 0.000 0.000 0.250
O2 O 0.000 0.000 0.750
O3 O 0.333 0.667 0.080
O4 O 0.333 0.667 0.420
O5 O 0.667 0.333 0.580
O6 O 0.667 0.333 0.920
```

Values from the calculation:
Its uncorrected energy is -80.7 eV for the cell shown. The total magnetization is 0.600 μB per atom. Its symmetry is P6_3/mmc.

***

Entry 4:
# YMoO2

A relaxed structure of YMoO2 (GGA+U, Alexandria).

The structure in CIF format:
```
data_YMoO2
_chemical_formula_sum 'Y2 Mo2 O4'
_cell_length_a 6.493
_cell_length_b 6.493
_cell_length_c 6.493
_cell_angle_alpha 132.20
_cell_angle_beta 132.20
_cell_angle_gamma 69.92
_space_group_name_H-M_alt 'P 1'
_space_group_IT_number 1
_space_group_name_Hall 'P 1'
loop_
_atom_site_label
_atom_site_type_symbol
_atom_site_fract_x
_atom_site_fract_y
_atom_site_fract_z
Y1 Y 0.000 0.000 0.000
Y2 Y 0.750 0.250 0.500
Mo1 Mo 0.250 0.750 0.500
Mo2 Mo 0.500 0.500 0.000
O1 O 0.089 0.625 0.964
O2 O 0.375 0.339 0.464
O3 O 0.661 0.125 0.036
O4 O 0.875 0.911 0.536
```

Values from the calculation:
Its uncorrected energy is -60.5 eV for the cell shown. The total magnetization is 1.234 μB per atom. Its symmetry is I-42d.

***

Entry 5:
# YMoO3

A relaxed structure of YMoO3 (GGA+U, Alexandria).

The structure in CIF format:
```
data_YMoO3
_chemical_formula_sum 'Y1 Mo1 O3'
_cell_length_a 4.297
_cell_length_b 4.297
_cell_length_c 4.297
_cell_angle_alpha 90.00
_cell_angle_beta 90.00
_cell_angle_gamma 90.00
_space_group_name_H-M_alt 'P 1'
_space_group_IT_number 1
_space_group_name_Hall 'P 1'
loop_
_atom_site_label
_atom_site_type_symbol
_atom_site_fract_x
_atom_site_fract_y
_atom_site_fract_z
Y1 Y 0.000 0.000 0.000
Mo1 Mo 0.500 0.500 0.500
O1 O 0.000 0.000 0.500
O2 O 0.000 0.500 0.000
O3 O 0.500 0.000 0.000
```

Values from the calculation:
Its uncorrected energy is -34.3 eV for the cell shown. The total magnetization is 0.600 μB per atom. Its symmetry is Pm-3m.

***

Entry 6:
# YMoO2

A relaxed structure of YMoO2 (GGA+U, Alexandria).

The structure in CIF format:
```
data_YMoO2
_chemical_formula_sum 'Y1 Mo1 O2'
_cell_length_a 6.730
_cell_length_b 6.730
_cell_length_c 6.730
_cell_angle_alpha 30.03
_cell_angle_beta 30.03
_cell_angle_gamma 30.03
_space_group_name_H-M_alt 'P 1'
_space_group_IT_number 1
_space_group_name_Hall 'P 1'
loop_
_atom_site_label
_atom_site_type_symbol
_atom_site_fract_x
_atom_site_fract_y
_atom_site_fract_z
Y1 Y 0.000 0.000 0.000
Mo1 Mo 0.500 0.500 0.500
O1 O 0.389 0.389 0.389
O2 O 0.611 0.611 0.611
```

Values from the calculation:
Its uncorrected energy is -31.9 eV for the cell shown. The total magnetization is 1.009 μB per atom. Its symmetry is R-3m.

***

Entry 7:
# YMo3O8

A relaxed structure of YMo3O8 (GGA+U, Alexandria).

The structure in CIF format:
```
data_YMo3O8
_chemical_formula_sum 'Y1 Mo3 O8'
_cell_length_a 6.267
_cell_length_b 6.267
_cell_length_c 4.849
_cell_angle_alpha 90.37
_cell_angle_beta 90.37
_cell_angle_gamma 57.67
_space_group_name_H-M_alt 'P 1'
_space_group_IT_number 1
_space_group_name_Hall 'P 1'
loop_
_atom_site_label
_atom_site_type_symbol
_atom_site_fract_x
_atom_site_fract_y
_atom_site_fract_z
Y1 Y 0.000 0.000 0.000
Mo1 Mo 0.021 0.497 0.497
Mo2 Mo 0.497 0.021 0.497
Mo3 Mo 0.513 0.513 0.488
O1 O 0.182 0.182 0.730
O2 O 0.182 0.657 0.708
O3 O 0.346 0.346 0.262
O4 O 0.351 0.846 0.278
O5 O 0.657 0.182 0.708
O6 O 0.680 0.680 0.704
O7 O 0.827 0.827 0.280
O8 O 0.846 0.351 0.278
```

Values from the calculation:
Its uncorrected energy is -91.4 eV for the cell shown. The total magnetization is 0.417 μB per atom. Its symmetry is Cm.

***

Entry 8:
# YMoO3

A relaxed structure of YMoO3 (GGA+U, Alexandria).

The structure in CIF format:
```
data_YMoO3
_chemical_formula_sum 'Y6 Mo6 O18'
_cell_length_a 6.278
_cell_length_b 6.278
_cell_length_c 12.523
_cell_angle_alpha 90.00
_cell_angle_beta 90.00
_cell_angle_gamma 120.00
_space_group_name_H-M_alt 'P 1'
_space_group_IT_number 1
_space_group_name_Hall 'P 1'
loop_
_atom_site_label
_atom_site_type_symbol
_atom_site_fract_x
_atom_site_fract_y
_atom_site_fract_z
Y1 Y 0.000 0.000 0.000
Y2 Y 0.000 0.000 0.500
Y3 Y 0.333 0.667 0.464
Y4 Y 0.333 0.667 0.964
Y5 Y 0.667 0.333 0.464
Y6 Y 0.667 0.333 0.964
Mo1 Mo 0.000 0.333 0.230
Mo2 Mo 0.000 0.667 0.730
Mo3 Mo 0.333 0.000 0.230
Mo4 Mo 0.333 0.333 0.730
Mo5 Mo 0.667 0.000 0.730
Mo6 Mo 0.667 0.667 0.230
O1 O 0.000 0.000 0.193
O2 O 0.000 0.000 0.693
O3 O 0.000 0.306 0.400
O4 O 0.000 0.361 0.062
O5 O 0.000 0.639 0.562
O6 O 0.000 0.694 0.900
O7 O 0.306 0.000 0.400
O8 O 0.306 0.306 0.900
O9 O 0.333 0.667 0.261
O10 O 0.333 0.667 0.761
O11 O 0.361 0.000 0.062
O12 O 0.361 0.361 0.562
O13 O 0.639 0.000 0.562
O14 O 0.639 0.639 0.062
O15 O 0.667 0.333 0.261
O16 O 0.667 0.333 0.761
O17 O 0.694 0.000 0.900
O18 O 0.694 0.694 0.400
```

Values from the calculation:
Its uncorrected energy is -243.7 eV for the cell shown. The total magnetization is 0.600 μB per atom. Its symmetry is P6_3cm.

***

Entry 9:
# Y2ZrMoO

A relaxed structure of Y2ZrMoO (GGA+U, Alexandria).

The structure in CIF format:
```
data_Y2ZrMoO
_chemical_formula_sum 'Y2 Zr1 Mo1 O1'
_cell_length_a 6.026
_cell_length_b 6.026
_cell_length_c 3.996
_cell_angle_alpha 90.00
_cell_angle_beta 90.00
_cell_angle_gamma 90.00
_space_group_name_H-M_alt 'P 1'
_space_group_IT_number 1
_space_group_name_Hall 'P 1'
loop_
_atom_site_label
_atom_site_type_symbol
_atom_site_fract_x
_atom_site_fract_y
_atom_site_fract_z
Y1 Y 0.000 0.500 0.000
Y2 Y 0.500 0.000 0.000
Zr1 Zr 0.000 0.000 0.000
Mo1 Mo 0.500 0.500 0.500
O1 O 0.000 0.000 0.500
```

Values from the calculation:
Its uncorrected energy is -32.5 eV for the cell shown. The total magnetization is 0.782 μB per atom. Its symmetry is P4/mmm.

***

Entry 10:
# YZrMoO6

A relaxed structure of YZrMoO6 (GGA+U, Alexandria).

The structure in CIF format:
```
data_YZrMoO6
_chemical_formula_sum 'Y2 Zr2 Mo2 O12'
_cell_length_a 5.434
_cell_length_b 5.434
_cell_length_c 9.205
_cell_angle_alpha 90.00
_cell_angle_beta 90.00
_cell_angle_gamma 120.00
_space_group_name_H-M_alt 'P 1'
_space_group_IT_number 1
_space_group_name_Hall 'P 1'
loop_
_atom_site_label
_atom_site_type_symbol
_atom_site_fract_x
_atom_site_fract_y
_atom_site_fract_z
Y1 Y 0.333 0.667 0.250
Y2 Y 0.667 0.333 0.750
Zr1 Zr 0.000 0.000 0.000
Zr2 Zr 0.000 0.000 0.500
Mo1 Mo 0.333 0.667 0.750
Mo2 Mo 0.667 0.333 0.250
O1 O 0.039 0.349 0.628
O2 O 0.039 0.690 0.872
O3 O 0.310 0.349 0.872
O4 O 0.310 0.961 0.628
O5 O 0.349 0.039 0.128
O6 O 0.349 0.310 0.372
O7 O 0.651 0.690 0.628
O8 O 0.651 0.961 0.872
O9 O 0.690 0.039 0.372
O10 O 0.690 0.651 0.128
O11 O 0.961 0.310 0.128
O12 O 0.961 0.651 0.372
```

Values from the calculation:
Its uncorrected energy is -150.6 eV for the cell shown. The total magnetization is 0.111 μB per atom. Its symmetry is P-31c.

***

Entry 11:
# YbMoO5

A relaxed structure of YbMoO5 (GGA+U, Alexandria).

The structure in CIF format:
```
data_YbMoO5
_chemical_formula_sum 'Yb4 Mo4 O20'
_cell_length_a 5.297
_cell_length_b 12.719
_cell_length_c 6.945
_cell_angle_alpha 90.00
_cell_angle_beta 115.72
_cell_angle_gamma 90.00
_space_group_name_H-M_alt 'P 1'
_space_group_IT_number 1
_space_group_name_Hall 'P 1'
loop_
_atom_site_label
_atom_site_type_symbol
_atom_site_fract_x
_atom_site_fract_y
_atom_site_fract_z
Yb1 Yb 0.146 0.057 0.286
Yb2 Yb 0.146 0.443 0.786
Yb3 Yb 0.854 0.557 0.214
Yb4 Yb 0.854 0.943 0.714
Mo1 Mo 0.403 0.139 0.856
Mo2 Mo 0.403 0.361 0.356
Mo3 Mo 0.597 0.639 0.644
Mo4 Mo 0.597 0.861 0.144
O1 O 0.001 0.581 0.953
O2 O 0.001 0.919 0.453
O3 O 0.191 0.065 0.961
O4 O 0.191 0.435 0.461
O5 O 0.271 0.650 0.416
O6 O 0.271 0.850 0.916
O7 O 0.289 0.229 0.285
O8 O 0.289 0.271 0.785
O9 O 0.497 0.572 0.841
O10 O 0.497 0.928 0.341
O11 O 0.503 0.072 0.659
O12 O 0.503 0.428 0.159
O13 O 0.711 0.729 0.215
O14 O 0.711 0.771 0.715
O15 O 0.729 0.150 0.084
O16 O 0.729 0.350 0.584
O17 O 0.809 0.565 0.539
O18 O 0.809 0.935 0.039
O19 O 0.999 0.081 0.547
O20 O 0.999 0.419 0.047
```

Values from the calculation:
Its uncorrected energy is -184.1 eV for the cell shown. The total magnetization is 0.288 μB per atom. Its symmetry is P2_1/c.

***

Entry 12:
# ZnMoO3

A relaxed structure of ZnMoO3 (GGA+U, Alexandria).

The structure in CIF format:
```
data_ZnMoO3
_chemical_formula_sum 'Zn1 Mo1 O3'
_cell_length_a 3.915
_cell_length_b 3.915
_cell_length_c 3.915
_cell_angle_alpha 90.00
_cell_angle_beta 90.00
_cell_angle_gamma 90.00
_space_group_name_H-M_alt 'P 1'
_space_group_IT_number 1
_space_group_name_Hall 'P 1'
loop_
_atom_site_label
_atom_site_type_symbol
_atom_site_fract_x
_atom_site_fract_y
_atom_site_fract_z
Zn1 Zn 0.000 0.000 0.000
Mo1 Mo 0.500 0.500 0.500
O1 O 0.000 0.500 0.500
O2 O 0.500 0.000 0.500
O3 O 0.500 0.500 0.000
```

Values from the calculation:
Its uncorrected energy is -28.2 eV for the cell shown. The total magnetization is 0.000 μB per atom. Its symmetry is Pm-3m.